Entry 1:
MgMn2HRh: optimized geometry, PBE-GGA.

**Raw total energy**: -6.140 eV/atom
**Relative energy among the computed polymorphs**: 0.21 eV per formula unit

Cell lengths 3.7205, 3.7205, 4.1793 Å; angles 90.00, 90.00, 90.00 degrees
With the nearest neighbours (Å) after each atom.
Space group P4/mmm (No. 123)
Unique sites:
1 Mg 0.0000 0.0000 0.0000  2 H 2.09
2 Mn 0.0000 0.5000 0.5000  2 H 1.86
3 H 0.0000 0.0000 0.5000  4 Mn 1.86
4 Rh 0.5000 0.5000 0.0000  4 Mg 2.63, 8 Mn 2.80

=====

Entry 2:
Y2MnRe: optimized geometry, PBE-GGA.

**Raw total energy**: -8.354 eV/atom
**Formation enthalpy at 0 K**: 27.3 kJ per mole of atoms
**Relative energy among the computed polymorphs**: 0.81 eV per formula unit

Cell lengths 6.9958, 6.9958, 6.9958 Å; angles 90.00, 90.00, 90.00 degrees
With the nearest neighbours (Å) after each atom.
Space group Fm-3m (No. 225)
Unique sites:
1 Y 0.2500 0.2500 0.2500  4 Re 3.03, 4 Mn 3.03
2 Mn 0.0000 0.0000 0.0000  8 Y 3.03
3 Re 0.0000 0.0000 0.5000  8 Y 3.03

=====

Number 1: total magnetic moment 5.49 μB per formula unit, calculated volume 11.57 A^3/atom. Number 2: total magnetic moment 4.08 μB per formula unit, calculated volume 21.40 A^3/atom.